A plane-wave DFT calculation with PBEsol was carried out for a relaxed structure of KTi2HSe.

abc: 4.8560 4.8560 3.8004
angles: 90.00 90.00 90.00
Fractional positions:
1 K 0.0000 0.0000 0.0000
2 Ti 0.0000 0.5000 0.0000
3 Ti 0.5000 0.0000 0.0000
4 H 0.0000 0.0000 0.5000
5 Se 0.5000 0.5000 0.5000

## Properties
- Space-group type: P4/mmm (123)
- Total moment: 4.36 μB/f.u.
- VASP energy: -3.58 eV/atom